BaCr2Cu | GGA-PBE | optimized geometry

The formation enthalpy at 0 K is 972 meV/atom. The energy above the most stable polymorph in this dataset is 38.81 kJ per mole of atoms. For the mass density, the calculation gives 4.4 Mg/m³.

Unit cell a=5.1361 b=5.1361 c=17.3801 alpha=90.00 beta=90.00 gamma=90.00
Last column: nearest neighbours and their distance in Å.
Space group I4_1/amd (No. 141, origin choice 2)
Asymmetric unit:
Ba (0.0000, 0.2500, 0.3750) [4 per cell]  8 Cr 3.60, 4 Cu 3.63
Cr (0.0000, 0.0000, 0.0000) [8 per cell]  2 Cu 2.52, 2 Cr 2.57
Cu (0.0000, 0.2500, 0.8750) [4 per cell]  4 Cr 2.52